<a>
Compound: Sb2AsOsI
Source: Alexandria
Functional: PBE
Structure: relaxed

```
data_Sb2AsOsI
_chemical_formula_sum 'Sb2 As1 Os1 I1'
_cell_length_a 5.359
_cell_length_b 5.359
_cell_length_c 5.312
_cell_angle_alpha 90.00
_cell_angle_beta 90.00
_cell_angle_gamma 90.00
_space_group_name_H-M_alt 'P 4/m m m'
_space_group_IT_number 123
_space_group_name_Hall '-P 4 2'
loop_
_atom_site_label
_atom_site_type_symbol
_atom_site_fract_x
_atom_site_fract_y
_atom_site_fract_z
Sb1 Sb 0.000 0.500 0.000
As1 As 0.000 0.000 0.000
Os1 Os 0.500 0.500 0.500
I1 I 0.000 0.000 0.500
```

## Properties
N(E_F) = 0.87 states/eV per atom

=====

<b>
Compound: Sb2AsOsI
Source: Alexandria
Functional: PBE
Structure: relaxed

```
data_Sb2AsOsI
_chemical_formula_sum 'Sb2 As1 Os1 I1'
_cell_length_a 5.059
_cell_length_b 5.059
_cell_length_c 5.597
_cell_angle_alpha 90.00
_cell_angle_beta 90.00
_cell_angle_gamma 90.00
_space_group_name_H-M_alt 'P 4/m m m'
_space_group_IT_number 123
_space_group_name_Hall '-P 4 2'
loop_
_atom_site_label
_atom_site_type_symbol
_atom_site_fract_x
_atom_site_fract_y
_atom_site_fract_z
Sb1 Sb 0.000 0.500 0.000
As1 As 0.000 0.000 0.500
Os1 Os 0.500 0.500 0.000
I1 I 0.500 0.500 0.500
```

## Properties
N(E_F) = 1.23 states/eV per atom

=====

Of them, the most stable is <b> and the least stable is <a>.

=====

<a>
Compound: Te2AsOsI
Source: Alexandria
Functional: PBE
Structure: relaxed

```
data_Te2AsOsI
_chemical_formula_sum 'Te2 As1 Os1 I1'
_cell_length_a 5.474
_cell_length_b 5.474
_cell_length_c 5.387
_cell_angle_alpha 90.00
_cell_angle_beta 90.00
_cell_angle_gamma 90.00
_space_group_name_H-M_alt 'P 4/m m m'
_space_group_IT_number 123
_space_group_name_Hall '-P 4 2'
loop_
_atom_site_label
_atom_site_type_symbol
_atom_site_fract_x
_atom_site_fract_y
_atom_site_fract_z
Te1 Te 0.000 0.500 0.000
As1 As 0.000 0.000 0.000
Os1 Os 0.500 0.500 0.500
I1 I 0.000 0.000 0.500
```

## Properties
N(E_F) = 1.18 states/eV per atom

=====

<b>
Compound: Te2AsOsI
Source: Alexandria
Functional: PBE
Structure: relaxed

```
data_Te2AsOsI
_chemical_formula_sum 'Te2 As1 Os1 I1'
_cell_length_a 5.155
_cell_length_b 5.155
_cell_length_c 5.450
_cell_angle_alpha 90.00
_cell_angle_beta 90.00
_cell_angle_gamma 90.00
_space_group_name_H-M_alt 'P 4/m m m'
_space_group_IT_number 123
_space_group_name_Hall '-P 4 2'
loop_
_atom_site_label
_atom_site_type_symbol
_atom_site_fract_x
_atom_site_fract_y
_atom_site_fract_z
Te1 Te 0.000 0.500 0.000
As1 As 0.000 0.000 0.500
Os1 Os 0.500 0.500 0.000
I1 I 0.500 0.500 0.500
```

## Properties
N(E_F) = 1.17 states/eV per atom

=====

Of them, the most stable is <b> and the least stable is <a>.

=====

<a>
Compound: AsPI2
Source: Alexandria
Functional: PBE
Structure: relaxed

```
data_AsPI2
_chemical_formula_sum 'As4 P4 I8'
_cell_length_a 7.344
_cell_length_b 7.344
_cell_length_c 7.344
_cell_angle_alpha 90.00
_cell_angle_beta 90.00
_cell_angle_gamma 90.00
_space_group_name_H-M_alt 'F m -3 m'
_space_group_IT_number 225
_space_group_name_Hall '-F 4 2 3'
loop_
_atom_site_label
_atom_site_type_symbol
_atom_site_fract_x
_atom_site_fract_y
_atom_site_fract_z
As1 As 0.000 0.000 0.000
P1 P 0.000 0.000 0.500
I1 I 0.250 0.250 0.250
```

## Properties
N(E_F) = 0.89 states/eV per atom

=====

<b>
Compound: AsPI2
Source: Alexandria
Functional: PBE
Structure: relaxed

```
data_AsPI2
_chemical_formula_sum 'As4 P4 I8'
_cell_length_a 7.718
_cell_length_b 7.718
_cell_length_c 8.060
_cell_angle_alpha 90.00
_cell_angle_beta 90.00
_cell_angle_gamma 90.00
_space_group_name_H-M_alt 'I -4 2 d'
_space_group_IT_number 122
_space_group_name_Hall 'I -4 2bw'
loop_
_atom_site_label
_atom_site_type_symbol
_atom_site_fract_x
_atom_site_fract_y
_atom_site_fract_z
As1 As 0.000 0.000 0.000
P1 P 0.000 0.000 0.500
I1 I 0.243 0.250 0.625
```

## Properties
N(E_F) = 0.03 states/eV per atom

=====

Of them, the most stable is <b> and the least stable is <a>.

=====

<a>
Compound: As3PI
Source: Alexandria
Functional: PBE
Structure: relaxed

```
data_As3PI
_chemical_formula_sum 'As3 P1 I1'
_cell_length_a 5.308
_cell_length_b 5.308
_cell_length_c 5.308
_cell_angle_alpha 90.00
_cell_angle_beta 90.00
_cell_angle_gamma 90.00
_space_group_name_H-M_alt 'P m -3 m'
_space_group_IT_number 221
_space_group_name_Hall '-P 4 2 3'
loop_
_atom_site_label
_atom_site_type_symbol
_atom_site_fract_x
_atom_site_fract_y
_atom_site_fract_z
As1 As 0.000 0.000 0.500
P1 P 0.500 0.500 0.500
I1 I 0.000 0.000 0.000
```

## Properties
N(E_F) = 1.09 states/eV per atom

=====

<b>
Compound: As3PI
Source: Alexandria
Functional: PBE
Structure: relaxed

```
data_As3PI
_chemical_formula_sum 'As3 P1 I1'
_cell_length_a 4.911
_cell_length_b 4.911
_cell_length_c 4.911
_cell_angle_alpha 90.00
_cell_angle_beta 90.00
_cell_angle_gamma 90.00
_space_group_name_H-M_alt 'P m -3 m'
_space_group_IT_number 221
_space_group_name_Hall '-P 4 2 3'
loop_
_atom_site_label
_atom_site_type_symbol
_atom_site_fract_x
_atom_site_fract_y
_atom_site_fract_z
As1 As 0.000 0.000 0.500
P1 P 0.000 0.000 0.000
I1 I 0.500 0.500 0.500
```

## Properties
N(E_F) = 1.05 states/eV per atom

=====

Of them, the most stable is <b> and the least stable is <a>.

=====

<a>
Compound: As2PI
Source: Alexandria
Functional: PBE
Structure: relaxed

```
data_As2PI
_chemical_formula_sum 'As8 P4 I4'
_cell_length_a 7.142
_cell_length_b 7.142
_cell_length_c 8.519
_cell_angle_alpha 90.00
_cell_angle_beta 90.00
_cell_angle_gamma 90.00
_space_group_name_H-M_alt 'I -4 2 d'
_space_group_IT_number 122
_space_group_name_Hall 'I -4 2bw'
loop_
_atom_site_label
_atom_site_type_symbol
_atom_site_fract_x
_atom_site_fract_y
_atom_site_fract_z
As1 As 0.177 0.750 0.125
P1 P 0.000 0.000 0.000
I1 I 0.000 0.000 0.500
```

## Properties
N(E_F) = 0.63 states/eV per atom

=====

<b>
Compound: As2PI
Source: Alexandria
Functional: PBE
Structure: relaxed

```
data_As2PI
_chemical_formula_sum 'As8 P4 I4'
_cell_length_a 6.975
_cell_length_b 6.975
_cell_length_c 6.975
_cell_angle_alpha 90.00
_cell_angle_beta 90.00
_cell_angle_gamma 90.00
_space_group_name_H-M_alt 'F m -3 m'
_space_group_IT_number 225
_space_group_name_Hall '-F 4 2 3'
loop_
_atom_site_label
_atom_site_type_symbol
_atom_site_fract_x
_atom_site_fract_y
_atom_site_fract_z
As1 As 0.250 0.250 0.250
P1 P 0.000 0.000 0.000
I1 I 0.000 0.000 0.500
```

## Properties
N(E_F) = 0.62 states/eV per atom

=====

Of them, the most stable is <a> and the least stable is <b>.

=====

<a>
Compound: Sb2AsPI
Source: Alexandria
Functional: PBE
Structure: relaxed

```
data_Sb2AsPI
_chemical_formula_sum 'Sb2 As1 P1 I1'
_cell_length_a 5.473
_cell_length_b 5.473
_cell_length_c 5.336
_cell_angle_alpha 90.00
_cell_angle_beta 90.00
_cell_angle_gamma 90.00
_space_group_name_H-M_alt 'P 4/m m m'
_space_group_IT_number 123
_space_group_name_Hall '-P 4 2'
loop_
_atom_site_label
_atom_site_type_symbol
_atom_site_fract_x
_atom_site_fract_y
_atom_site_fract_z
Sb1 Sb 0.000 0.500 0.000
As1 As 0.000 0.000 0.000
P1 P 0.500 0.500 0.500
I1 I 0.000 0.000 0.500
```

## Properties
N(E_F) = 1.12 states/eV per atom

=====

<b>
Compound: Sb2AsPI
Source: Alexandria
Functional: PBE
Structure: relaxed

```
data_Sb2AsPI
_chemical_formula_sum 'Sb2 As1 P1 I1'
_cell_length_a 5.324
_cell_length_b 5.324
_cell_length_c 5.153
_cell_angle_alpha 90.00
_cell_angle_beta 90.00
_cell_angle_gamma 90.00
_space_group_name_H-M_alt 'P 4/m m m'
_space_group_IT_number 123
_space_group_name_Hall '-P 4 2'
loop_
_atom_site_label
_atom_site_type_symbol
_atom_site_fract_x
_atom_site_fract_y
_atom_site_fract_z
Sb1 Sb 0.000 0.500 0.000
As1 As 0.000 0.000 0.500
P1 P 0.500 0.500 0.000
I1 I 0.500 0.500 0.500
```

## Properties
N(E_F) = 1.21 states/eV per atom

=====

Of them, the most stable is <b> and the least stable is <a>.

=====

<a>
Compound: AsPSe2I
Source: Alexandria
Functional: PBE
Structure: relaxed

```
data_AsPSe2I
_chemical_formula_sum 'As1 P1 Se2 I1'
_cell_length_a 5.327
_cell_length_b 5.327
_cell_length_c 5.640
_cell_angle_alpha 90.00
_cell_angle_beta 90.00
_cell_angle_gamma 90.00
_space_group_name_H-M_alt 'P 4/m m m'
_space_group_IT_number 123
_space_group_name_Hall '-P 4 2'
loop_
_atom_site_label
_atom_site_type_symbol
_atom_site_fract_x
_atom_site_fract_y
_atom_site_fract_z
As1 As 0.000 0.000 0.000
P1 P 0.500 0.500 0.000
Se1 Se 0.000 0.500 0.500
I1 I 0.000 0.000 0.500
```

## Properties
N(E_F) = 0.98 states/eV per atom

=====

<b>
Compound: AsPSe2I
Source: Alexandria
Functional: PBE
Structure: relaxed

```
data_AsPSe2I
_chemical_formula_sum 'As1 P1 Se2 I1'
_cell_length_a 4.813
_cell_length_b 4.813
_cell_length_c 5.211
_cell_angle_alpha 90.00
_cell_angle_beta 90.00
_cell_angle_gamma 90.00
_space_group_name_H-M_alt 'P 4/m m m'
_space_group_IT_number 123
_space_group_name_Hall '-P 4 2'
loop_
_atom_site_label
_atom_site_type_symbol
_atom_site_fract_x
_atom_site_fract_y
_atom_site_fract_z
As1 As 0.000 0.000 0.000
P1 P 0.000 0.000 0.500
Se1 Se 0.000 0.500 0.500
I1 I 0.500 0.500 0.000
```

## Properties
N(E_F) = 1.17 states/eV per atom

=====

Of them, the most stable is <b> and the least stable is <a>.